V8MoRh2 | PBE-GGA | optimized geometry

a b c (Å): 4.207 4.207 9.013
angles (deg): 90.00 90.00 90.00
Fractional coordinates of all 11 atoms:
Rh1 0.000 0.000 0.333
Rh2 0.000 0.000 0.667
V1 0.500 0.000 0.839
V2 0.000 0.500 0.839
V3 0.500 0.500 0.333
V4 0.500 0.000 0.500
V5 0.000 0.500 0.500
V6 0.000 0.500 0.161
V7 0.500 0.500 0.667
V8 0.500 0.000 0.161
Mo1 0.000 0.000 0.000

Results
The formation energy is 0.059 eV/atom. The calculation puts the final energy at -0.65370 Ry per atom. The space-group type is P4/mmm. For the magnetization, the calculation gives 0.0 Bohr magnetons per cell.